# GaCoHgPt PBE relaxed
# DFT total energy = -16.26 eV/f.u.
# energy above the most stable polymorph in this dataset = 0 meV per atom
# calculated density = 14.008 g/cm³
data_GaCoHgPt
_symmetry_space_group_name_H-M 'F -4 3 m'
_symmetry_Int_Tables_number 216
_symmetry_space_group_name_Hall 'F -4 2 3'
_cell_length_a 6.2881
_cell_length_b 6.2881
_cell_length_c 6.2881
_cell_angle_alpha 90.00
_cell_angle_beta 90.00
_cell_angle_gamma 90.00
loop_
_atom_site_label
_atom_site_fract_x
_atom_site_fract_y
_atom_site_fract_z
Ga1 0.0000 0.0000 0.0000
Co1 0.2500 0.2500 0.2500
Hg1 0.0000 0.0000 0.5000
Pt1 0.2500 0.2500 0.7500

# GaCoReHg PBE relaxed
# DFT total energy = -20.20 eV/f.u.
# energy above the most stable polymorph in this dataset = 0 meV per atom
# calculated density = 14.046 g/cm³
data_GaCoReHg
_symmetry_space_group_name_H-M 'F -4 3 m'
_symmetry_Int_Tables_number 216
_symmetry_space_group_name_Hall 'F -4 2 3'
_cell_length_a 6.2467
_cell_length_b 6.2467
_cell_length_c 6.2467
_cell_angle_alpha 90.00
_cell_angle_beta 90.00
_cell_angle_gamma 90.00
loop_
_atom_site_label
_atom_site_fract_x
_atom_site_fract_y
_atom_site_fract_z
Ga1 0.0000 0.0000 0.0000
Co1 0.2500 0.2500 0.2500
Re1 0.2500 0.2500 0.7500
Hg1 0.0000 0.0000 0.5000

# GaCoReHg PBE relaxed
# DFT total energy = -19.63 eV/f.u.
# energy above the most stable polymorph in this dataset = 143 meV per atom
# calculated density = 13.690 g/cm³
data_GaCoReHg
_symmetry_space_group_name_H-M 'F -4 3 m'
_symmetry_Int_Tables_number 216
_symmetry_space_group_name_Hall 'F -4 2 3'
_cell_length_a 6.3003
_cell_length_b 6.3003
_cell_length_c 6.3003
_cell_angle_alpha 90.00
_cell_angle_beta 90.00
_cell_angle_gamma 90.00
loop_
_atom_site_label
_atom_site_fract_x
_atom_site_fract_y
_atom_site_fract_z
Ga1 0.0000 0.0000 0.0000
Co1 0.2500 0.2500 0.2500
Re1 0.0000 0.0000 0.5000
Hg1 0.2500 0.2500 0.7500

# ScGaCoHg PBE relaxed
# DFT total energy = -17.36 eV/f.u.
# energy above the most stable polymorph in this dataset = 0 meV per atom
# calculated density = 9.317 g/cm³
data_ScGaCoHg
_symmetry_space_group_name_H-M 'F -4 3 m'
_symmetry_Int_Tables_number 216
_symmetry_space_group_name_Hall 'F -4 2 3'
_cell_length_a 6.4375
_cell_length_b 6.4375
_cell_length_c 6.4375
_cell_angle_alpha 90.00
_cell_angle_beta 90.00
_cell_angle_gamma 90.00
loop_
_atom_site_label
_atom_site_fract_x
_atom_site_fract_y
_atom_site_fract_z
Sc1 0.0000 0.0000 0.0000
Ga1 0.2500 0.2500 0.2500
Co1 0.0000 0.0000 0.5000
Hg1 0.2500 0.2500 0.7500